Record 1
Density functional theory data (GGA-PBE) for a geometry-optimized HfZrN2F structure.

Properties
* E above lowest polymorph: 0 meV per atom
* formation energy without anion corrections: -534 kJ/mol of formula units
* Fermi-level density of states: 2.1 states/eV/f.u.

```
HfZrN2F
1.0
-0.8101 3.0737 2.7993
-4.1378 -0.3198 -0.8463
-0.3698 -2.6594 2.8131
N F Hf Zr
2 1 1 1
Cartesian
-2.0689 -0.1599 -0.4232
-0.4051 1.5369 1.3996
-0.1849 -1.3297 1.4066
0.0000 0.0000 0.0000
-2.6589 0.0473 2.3830
```

---

Record 2
Density functional theory data (GGA-PBE) for a geometry-optimized Na2HfF8 structure.

Properties
* E above lowest polymorph: 0 meV per atom
* formation energy without anion corrections: -2846 kJ/mol of formula units
* Fermi-level density of states: 9.3 states/eV/f.u.

```
Na2HfF8
1.0
3.7286 0.0000 0.0000
-1.8643 5.9361 -1.1212
0.0000 0.1885 7.9350
F Na Hf
8 2 1
Cartesian
0.0000 5.2386 0.7773
1.8643 0.8860 6.0364
0.0000 0.6516 0.9492
1.8643 2.0756 0.2439
0.0000 4.0490 6.5698
1.8643 3.0816 3.3052
1.8643 5.4731 5.8645
0.0000 3.0431 3.5085
0.0000 3.0490 1.2393
1.8643 3.0756 5.5745
1.8643 0.0000 0.0000
```

---

Record 3
Density functional theory data (GGA-PBE) for a geometry-optimized NaHfF6 structure.

Properties
* formation energy without anion corrections: -2323 kJ/mol of formula units
* Fermi-level density of states: 9.7 states/eV/f.u.

```
NaHfF6
1.0
-2.1445 0.3344 4.6475
2.1460 -4.4703 1.3119
7.2044 4.3424 3.0119
Na F Hf
2 12 2
Cartesian
5.4041 1.1889 5.2386
1.8019 -0.9823 3.7327
4.5600 -0.9655 3.7375
4.7118 -0.4587 6.7122
-0.1649 0.0202 4.4341
2.3782 -2.8229 2.4500
2.5000 -1.7918 5.7876
-0.0026 -1.1421 1.6528
7.3709 0.1864 4.5372
2.6460 1.1721 5.2338
4.7059 1.9984 3.1837
2.4942 0.6653 2.2591
0.0041 -2.9938 4.3066
4.8278 3.0295 6.5213
0.0000 0.0000 0.0000
3.6022 2.1712 1.5059
```

---

Record 4
Density functional theory data (GGA-PBE) for a geometry-optimized Na5Hf2F13 structure.

Properties
* formation energy without anion corrections: -6513 kJ/mol of formula units
* Fermi-level density of states: 0.0 states/eV/f.u.

```
Na5Hf2F13
1.0
-1.2474 -6.0151 -2.0682
2.6685 -5.6126 1.8420
-5.7590 -1.9259 5.9655
F Na Hf
13 5 2
Cartesian
-2.4826 -7.8510 5.3688
-2.1221 -8.7035 0.9406
1.5656 -7.3881 1.3733
-5.9035 -6.1655 4.3660
0.2083 -5.4905 2.4311
-2.8795 -0.9630 2.9828
-1.8553 -5.7026 0.3705
-4.5462 -8.0631 3.3082
-4.2853 -5.0628 2.7322
-0.6035 -7.6110 -0.7928
-3.7344 -5.9426 6.5320
-0.0526 -8.4907 3.0071
-2.2158 -4.8501 4.7987
-2.3494 -8.8156 3.2602
-4.5551 -4.2127 4.9952
0.7106 -5.8138 -0.1131
0.2172 -9.3408 0.7440
-1.9885 -4.7380 2.4791
-1.3843 -1.3449 1.5247
-2.9536 -12.2087 4.2146
```

---

Calculated calculated total energy in order - -8.51 -5.19 -5.82 -5.92 eV per atom
Calculated calculated density in order - 7.54 3.54 4.46 4.35 g/cm3